Entry from the Alexandria database: crystalline KMnBiO3 at its relaxed geometry (PBE+U).

```
data_KMnBiO3
_symmetry_space_group_name_H-M 'P 1'
_symmetry_Int_Tables_number 1
_symmetry_space_group_name_Hall 'P 1'
_cell_length_a 7.1788
_cell_length_b 3.5242
_cell_length_c 9.9105
_cell_angle_alpha 90.00
_cell_angle_beta 97.11
_cell_angle_gamma 90.00
loop_
_atom_site_label
_atom_site_type_symbol
_atom_site_fract_x
_atom_site_fract_y
_atom_site_fract_z
K1 K 0.1993 0.2500 0.2225
K2 K 0.8007 0.7500 0.7775
Mn1 Mn 0.3996 0.7500 0.8973
Mn2 Mn 0.6004 0.2500 0.1027
Bi1 Bi 0.1837 0.2500 0.6026
Bi2 Bi 0.8163 0.7500 0.3974
O1 O 0.1160 0.7500 0.4283
O2 O 0.1688 0.7500 0.7502
O3 O 0.4389 0.7500 0.1128
O4 O 0.5611 0.2500 0.8872
O5 O 0.8312 0.2500 0.2498
O6 O 0.8840 0.2500 0.5717
```

Output
As for the space group: P2_1/m, No. 11. As for the magnetic moment: 5.00 μB per formula unit. The total energy comes out at -35.7 eV/f.u.